Record 1
## AcYC (PBE-GGA)

Data for a relaxed structure of AcYC.

The structure in POSCAR format:
```
AcYC
1.0
3.749 0.000 0.000
-1.874 3.247 0.000
0.000 0.000 6.758
Ac Y C
1 1 1
direct
0.000 0.000 0.000
0.333 0.667 0.423
0.667 0.333 0.247
```

Properties
Calculated density: 6.62 g/cm3
Space group: No. 156
Total magnetization: 0.00 μB/f.u.
ΔH_f (0 K): -45 meV per atom

Record 2
## Ac2YC (PBE-GGA)

Data for a relaxed structure of Ac2YC.

The structure in POSCAR format:
```
Ac2YC
1.0
4.043 0.000 0.000
-2.022 3.501 0.000
0.000 0.000 31.851
Ac Y C
6 3 3
direct
0.000 0.000 0.074
0.000 0.000 0.926
0.333 0.667 0.593
0.333 0.667 0.740
0.667 0.333 0.260
0.667 0.333 0.407
0.000 0.000 0.500
0.333 0.667 0.167
0.667 0.333 0.833
0.000 0.000 0.000
0.333 0.667 0.667
0.667 0.333 0.333
```

Properties
Calculated density: 6.13 g/cm3
Space group: No. 166
Total magnetization: 1.00 μB/f.u.
ΔH_f (0 K): 1078 meV per atom

Record 3
## AcZnC (PBE-GGA)

Data for a relaxed structure of AcZnC.

The structure in POSCAR format:
```
AcZnC
1.0
7.900 0.000 0.000
0.000 4.183 0.000
-2.049 0.000 8.192
Ac Zn C
4 4 4
direct
0.085 0.000 0.298
0.415 0.500 0.702
0.585 0.500 0.298
0.915 0.000 0.702
0.162 0.500 0.999
0.338 0.000 0.001
0.662 0.000 0.999
0.838 0.500 0.001
0.083 0.500 0.538
0.417 0.000 0.462
0.583 0.000 0.538
0.917 0.500 0.462
```

Properties
Calculated density: 7.47 g/cm3
Space group: No. 12
Total magnetization: 0.00 μB/f.u.
ΔH_f (0 K): -164 meV per atom

Record 4
## Ca5Ac3 (PBE-GGA)

Data for a relaxed structure of Ca5Ac3.

The structure in POSCAR format:
```
Ca5Ac3
1.0
3.981 0.000 0.000
0.000 6.408 0.000
0.000 0.000 13.644
Ca Ac
5 3
direct
0.000 0.000 0.000
0.000 0.000 0.496
0.000 0.500 0.327
0.500 0.000 0.248
0.500 0.500 0.082
0.000 0.500 0.830
0.500 0.000 0.750
0.500 0.500 0.581
```

Properties
Calculated density: 4.21 g/cm3
Space group: No. 25
Total magnetization: 0.00 μB/f.u.
ΔH_f (0 K): 23 meV per atom

Record 5
## CaAc6 (PBE-GGA)

Data for a relaxed structure of CaAc6.

The structure in POSCAR format:
```
CaAc6
1.0
9.535 0.000 0.000
0.000 9.535 0.000
0.000 0.000 9.535
Ca Ac
2 12
direct
0.000 0.000 0.000
0.500 0.500 0.500
0.000 0.250 0.500
0.000 0.500 0.250
0.000 0.500 0.750
0.000 0.750 0.500
0.250 0.000 0.500
0.250 0.500 0.000
0.500 0.000 0.250
0.500 0.000 0.750
0.500 0.250 0.000
0.500 0.750 0.000
0.750 0.000 0.500
0.750 0.500 0.000
```

Properties
Calculated density: 5.37 g/cm3
Space group: No. 229
Total magnetization: 0.00 μB/f.u.
ΔH_f (0 K): 1342 meV per atom

Record 6
## CaAc4 (PBE-GGA)

Data for a relaxed structure of CaAc4.

The structure in POSCAR format:
```
CaAc4
1.0
6.265 0.000 0.000
0.000 6.265 0.000
0.000 0.000 6.265
Ca Ac
1 4
direct
0.000 0.000 0.000
0.000 0.000 0.500
0.000 0.500 0.000
0.500 0.000 0.000
0.500 0.500 0.500
```

Properties
Calculated density: 6.40 g/cm3
Space group: No. 221
Total magnetization: 0.00 μB/f.u.
ΔH_f (0 K): 644 meV per atom

Record 7
## Ca2Ac5 (PBE-GGA)

Data for a relaxed structure of Ca2Ac5.

The structure in POSCAR format:
```
Ca2Ac5
1.0
3.147 1.817 9.083
-3.147 1.817 9.083
0.000 -3.634 9.083
Ca Ac
2 5
direct
0.149 0.149 0.149
0.851 0.851 0.851
0.000 0.000 0.000
0.293 0.293 0.293
0.430 0.430 0.430
0.570 0.570 0.570
0.707 0.707 0.707
```

Properties
Calculated density: 6.47 g/cm3
Space group: No. 166
Total magnetization: 0.00 μB/f.u.
ΔH_f (0 K): 83 meV per atom

Record 8
## CaAc8 (PBE-GGA)

Data for a relaxed structure of CaAc8.

The structure in POSCAR format:
```
CaAc8
1.0
6.596 -5.953 0.000
6.596 5.953 0.000
-2.441 0.000 5.131
Ca Ac
1 8
direct
0.000 0.000 0.000
0.000 0.338 0.669
0.000 0.662 0.331
0.335 0.335 0.334
0.335 0.665 0.000
0.338 0.000 0.669
0.662 0.000 0.331
0.665 0.335 0.000
0.665 0.665 0.666
```

Properties
Calculated density: 7.65 g/cm3
Space group: No. 12
Total magnetization: 0.00 μB/f.u.
ΔH_f (0 K): 14 meV per atom

Record 9
## Ca2Ac5 (PBE-GGA)

Data for a relaxed structure of Ca2Ac5.

The structure in POSCAR format:
```
Ca2Ac5
1.0
3.990 0.000 0.000
0.000 3.990 0.000
0.000 0.000 39.053
Ca Ac
4 10
direct
0.000 0.000 0.216
0.000 0.000 0.784
0.500 0.500 0.284
0.500 0.500 0.716
0.000 0.000 0.073
0.000 0.000 0.357
0.000 0.000 0.500
0.000 0.000 0.643
0.000 0.000 0.927
0.500 0.500 0.000
0.500 0.500 0.143
0.500 0.500 0.427
0.500 0.500 0.573
0.500 0.500 0.857
```

Properties
Calculated density: 6.49 g/cm3
Space group: No. 139
Total magnetization: 0.00 μB/f.u.
ΔH_f (0 K): 15 meV per atom

Record 10
## Ca2Ac7 (PBE-GGA)

Data for a relaxed structure of Ca2Ac7.

The structure in POSCAR format:
```
Ca2Ac7
1.0
6.900 0.000 0.000
-3.450 5.976 0.000
0.000 0.000 9.718
Ca Ac
2 7
direct
0.333 0.667 0.000
0.667 0.333 0.000
0.000 0.000 0.000
0.000 0.329 0.663
0.000 0.671 0.337
0.329 0.000 0.663
0.329 0.329 0.337
0.671 0.000 0.337
0.671 0.671 0.663
```

Properties
Calculated density: 6.92 g/cm3
Space group: No. 162
Total magnetization: 0.00 μB/f.u.
ΔH_f (0 K): 23 meV per atom

Record 11
## Ca13Ac3 (PBE-GGA)

Data for a relaxed structure of Ca13Ac3.

The structure in POSCAR format:
```
Ca13Ac3
1.0
12.740 0.000 0.000
0.000 3.942 6.755
0.000 -3.942 6.755
Ca Ac
13 3
direct
0.000 0.000 0.000
0.000 0.001 0.507
0.000 0.503 0.503
0.000 0.507 0.001
0.249 0.331 0.833
0.249 0.833 0.331
0.251 0.333 0.333
0.500 0.003 0.504
0.500 0.504 0.003
0.500 0.504 0.504
0.749 0.333 0.333
0.751 0.331 0.833
0.751 0.833 0.331
0.257 0.833 0.833
0.500 0.002 0.002
0.743 0.833 0.833
```

Properties
Calculated density: 2.94 g/cm3
Space group: No. 38
Total magnetization: 0.00 μB/f.u.
ΔH_f (0 K): 26 meV per atom

Record 12
## CaAc5 (PBE-GGA)

Data for a relaxed structure of CaAc5.

The structure in POSCAR format:
```
CaAc5
1.0
14.637 0.000 0.000
0.000 4.021 0.000
-2.437 0.000 9.146
Ca Ac
2 10
direct
0.000 0.000 0.000
0.500 0.500 0.000
0.112 0.500 0.722
0.169 0.500 0.331
0.278 0.000 0.055
0.331 0.000 0.664
0.445 0.500 0.393
0.612 0.000 0.722
0.669 0.000 0.331
0.778 0.500 0.055
0.831 0.500 0.664
0.945 0.000 0.393
```

Properties
Calculated density: 7.25 g/cm3
Space group: No. 8
Total magnetization: 0.00 μB/f.u.
ΔH_f (0 K): 25 meV per atom

Record 13
## Ca2Ac (PBE-GGA)

Data for a relaxed structure of Ca2Ac.

The structure in POSCAR format:
```
Ca2Ac
1.0
4.318 0.000 0.000
0.000 4.318 0.000
0.000 0.000 13.623
Ca Ac
4 2
direct
0.000 0.000 0.174
0.000 0.000 0.826
0.500 0.500 0.326
0.500 0.500 0.674
0.000 0.000 0.500
0.500 0.500 0.000
```

Properties
Calculated density: 4.02 g/cm3
Space group: No. 139
Total magnetization: 0.00 μB/f.u.
ΔH_f (0 K): 38 meV per atom

Record 14
## Ca2Ac3 (PBE-GGA)

Data for a relaxed structure of Ca2Ac3.

The structure in POSCAR format:
```
Ca2Ac3
1.0
3.961 0.000 0.000
-1.980 3.430 0.000
0.000 0.000 48.629
Ca Ac
6 9
direct
0.000 0.000 0.199
0.000 0.000 0.801
0.333 0.667 0.467
0.333 0.667 0.866
0.667 0.333 0.134
0.667 0.333 0.533
0.000 0.000 0.000
0.000 0.000 0.400
0.000 0.000 0.600
0.333 0.667 0.066
0.333 0.667 0.267
0.333 0.667 0.667
0.667 0.333 0.333
0.667 0.333 0.733
0.667 0.333 0.934
```

Properties
Calculated density: 5.74 g/cm3
Space group: No. 166
Total magnetization: 0.00 μB/f.u.
ΔH_f (0 K): 14 meV per atom

Record 15
## Ca7Ac5 (PBE-GGA)

Data for a relaxed structure of Ca7Ac5.

The structure in POSCAR format:
```
Ca7Ac5
1.0
3.906 0.000 0.000
0.000 11.921 0.000
0.000 0.000 11.120
Ca Ac
7 5
direct
0.000 0.000 0.000
0.000 0.000 0.497
0.000 0.332 0.999
0.000 0.668 0.999
0.500 0.166 0.249
0.500 0.500 0.753
0.500 0.834 0.249
0.000 0.336 0.500
0.000 0.664 0.500
0.500 0.167 0.746
0.500 0.500 0.253
0.500 0.833 0.746
```

Properties
Calculated density: 4.54 g/cm3
Space group: No. 25
Total magnetization: 0.00 μB/f.u.
ΔH_f (0 K): 26 meV per atom

Record 16
## Ca2Ac3 (PBE-GGA)

Data for a relaxed structure of Ca2Ac3.

The structure in POSCAR format:
```
Ca2Ac3
1.0
3.357 1.938 12.753
-3.357 1.938 12.753
0.000 -3.876 12.753
Ca Ac
4 6
direct
0.167 0.167 0.167
0.333 0.333 0.333
0.667 0.667 0.667
0.833 0.833 0.833
0.090 0.750 0.410
0.250 0.590 0.910
0.410 0.090 0.750
0.590 0.910 0.250
0.750 0.410 0.090
0.910 0.250 0.590
```

Properties
Calculated density: 5.08 g/cm3
Space group: No. 167
Total magnetization: 0.00 μB/f.u.
ΔH_f (0 K): 304 meV per atom

Record 17
## Ca4Ac (PBE-GGA)

Data for a relaxed structure of Ca4Ac.

The structure in POSCAR format:
```
Ca4Ac
1.0
6.359 0.000 0.000
0.000 6.359 0.000
0.000 0.000 6.359
Ca Ac
4 1
direct
0.000 0.000 0.000
0.000 0.500 0.500
0.500 0.000 0.500
0.500 0.500 0.000
0.500 0.500 0.500
```

Properties
Calculated density: 2.50 g/cm3
Space group: No. 221
Total magnetization: 1.28 μB/f.u.
ΔH_f (0 K): 800 meV per atom

Record 18
## CaAc4 (PBE-GGA)

Data for a relaxed structure of CaAc4.

The structure in POSCAR format:
```
CaAc4
1.0
4.006 0.000 0.000
0.000 4.006 0.000
0.000 0.000 27.855
Ca Ac
2 8
direct
0.000 0.000 0.000
0.500 0.500 0.500
0.000 0.000 0.198
0.000 0.000 0.400
0.000 0.000 0.600
0.000 0.000 0.802
0.500 0.500 0.100
0.500 0.500 0.302
0.500 0.500 0.698
0.500 0.500 0.900
```

Properties
Calculated density: 7.04 g/cm3
Space group: No. 139
Total magnetization: 0.00 μB/f.u.
ΔH_f (0 K): 16 meV per atom

Record 19
## Ca3Ac5 (PBE-GGA)

Data for a relaxed structure of Ca3Ac5.

The structure in POSCAR format:
```
Ca3Ac5
1.0
4.139 0.000 0.000
0.000 6.526 0.000
0.000 0.000 26.313
Ca Ac
6 10
direct
0.000 0.000 0.000
0.000 0.500 0.122
0.000 0.500 0.878
0.500 0.000 0.122
0.500 0.000 0.878
0.500 0.500 0.000
0.000 0.000 0.249
0.000 0.000 0.500
0.000 0.000 0.751
0.000 0.500 0.373
0.000 0.500 0.627
0.500 0.000 0.373
0.500 0.000 0.627
0.500 0.500 0.249
0.500 0.500 0.500
0.500 0.500 0.751
```

Properties
Calculated density: 5.86 g/cm3
Space group: No. 65
Total magnetization: 0.01 μB/f.u.
ΔH_f (0 K): 79 meV per atom

Record 20
## Ca13Ac2 (PBE-GGA)

Data for a relaxed structure of Ca13Ac2.

The structure in POSCAR format:
```
Ca13Ac2
1.0
6.733 0.000 0.000
-0.145 9.602 0.000
-1.079 -3.237 9.855
Ca Ac
13 2
direct
0.000 0.000 0.000
0.130 0.270 0.804
0.198 0.398 0.201
0.267 0.535 0.600
0.335 0.665 0.998
0.401 0.798 0.394
0.468 0.934 0.801
0.532 0.066 0.199
0.599 0.202 0.606
0.665 0.335 0.002
0.733 0.465 0.400
0.802 0.602 0.799
0.870 0.730 0.196
0.065 0.131 0.406
0.935 0.869 0.594
```

Properties
Calculated density: 2.54 g/cm3
Space group: No. 2
Total magnetization: 0.00 μB/f.u.
ΔH_f (0 K): 26 meV per atom

Record 21
## Ca5Ac (PBE-GGA)

Data for a relaxed structure of Ca5Ac.

The structure in POSCAR format:
```
Ca5Ac
1.0
3.892 0.000 0.000
0.000 3.892 0.000
0.000 0.000 16.817
Ca Ac
5 1
direct
0.000 0.000 0.000
0.000 0.000 0.331
0.000 0.000 0.669
0.500 0.500 0.164
0.500 0.500 0.836
0.500 0.500 0.500
```

Properties
Calculated density: 2.79 g/cm3
Space group: No. 123
Total magnetization: 0.00 μB/f.u.
ΔH_f (0 K): 22 meV per atom

Record 22
## Ca13Ac3 (PBE-GGA)

Data for a relaxed structure of Ca13Ac3.

The structure in POSCAR format:
```
Ca13Ac3
1.0
8.861 0.000 0.000
0.000 6.163 6.174
0.000 -6.163 6.174
Ca Ac
13 3
direct
0.000 0.000 0.000
0.000 0.000 0.507
0.000 0.507 0.000
0.000 0.507 0.507
0.249 0.256 0.752
0.249 0.752 0.256
0.249 0.754 0.754
0.500 0.508 0.508
0.500 0.509 0.999
0.500 0.999 0.509
0.751 0.256 0.752
0.751 0.752 0.256
0.751 0.754 0.754
0.251 0.254 0.254
0.500 0.007 0.007
0.749 0.254 0.254
```

Properties
Calculated density: 2.96 g/cm3
Space group: No. 38
Total magnetization: 0.00 μB/f.u.
ΔH_f (0 K): 38 meV per atom

Record 23
## Ca3Ac5 (PBE-GGA)

Data for a relaxed structure of Ca3Ac5.

The structure in POSCAR format:
```
Ca3Ac5
1.0
3.999 0.000 0.000
0.000 6.417 0.000
0.000 0.000 13.805
Ca Ac
3 5
direct
0.000 0.000 0.000
0.000 0.500 0.166
0.500 0.000 0.248
0.000 0.000 0.499
0.000 0.500 0.669
0.500 0.000 0.747
0.500 0.500 0.414
0.500 0.500 0.916
```

Properties
Calculated density: 5.88 g/cm3
Space group: No. 25
Total magnetization: 0.00 μB/f.u.
ΔH_f (0 K): 28 meV per atom

Record 24
## Ca3Ac4 (PBE-GGA)

Data for a relaxed structure of Ca3Ac4.

The structure in POSCAR format:
```
Ca3Ac4
1.0
4.002 0.000 0.000
0.000 4.002 0.000
0.000 0.000 38.575
Ca Ac
6 8
direct
0.000 0.000 0.000
0.000 0.000 0.285
0.000 0.000 0.715
0.500 0.500 0.215
0.500 0.500 0.500
0.500 0.500 0.785
0.000 0.000 0.142
0.000 0.000 0.427
0.000 0.000 0.573
0.000 0.000 0.858
0.500 0.500 0.073
0.500 0.500 0.358
0.500 0.500 0.642
0.500 0.500 0.927
```

Properties
Calculated density: 5.53 g/cm3
Space group: No. 139
Total magnetization: 0.00 μB/f.u.
ΔH_f (0 K): 10 meV per atom

Record 25
## Ca2Ac (PBE-GGA)

Data for a relaxed structure of Ca2Ac.

The structure in POSCAR format:
```
Ca2Ac
1.0
0.000 5.129 5.129
5.129 0.000 5.129
5.129 5.129 0.000
Ca Ac
4 2
direct
0.000 0.000 0.000
0.000 0.000 0.500
0.000 0.500 0.000
0.500 0.000 0.000
0.375 0.375 0.375
0.625 0.625 0.625
```

Properties
Calculated density: 3.78 g/cm3
Space group: No. 227
Total magnetization: 1.06 μB/f.u.
ΔH_f (0 K): 164 meV per atom